(1)
Entry from the Alexandria database: LaTl3Bi after structural relaxation (PBE-GGA).

Geometry as POSCAR:
```
LaTl3Bi
1.0
-3.8851 -1.8443 -4.2932
4.3423 -3.4869 -2.4316
-1.7255 -4.6224 3.5472
La Tl Bi
1 3 1
Direct
0.0000 0.0000 0.0000 La
0.5000 0.0000 0.0000 Tl
0.0000 0.5000 0.0000 Tl
0.0000 0.0000 0.5000 Tl
0.5000 0.5000 0.5000 Bi
```

Computed properties:
* energy of formation: 577 meV/atom
* energy above the most stable polymorph in this dataset: 3.64 kcal/mol of atoms


(2)
Entry from the Alexandria database: La5Tl2Bi after structural relaxation (PBE-GGA).

Geometry as POSCAR:
```
La5Tl2Bi
1.0
-3.5865 8.7711 1.5199
-1.2337 0.7432 -7.2104
-0.8877 -6.1789 3.2631
La Tl Bi
5 2 1
Direct
0.2219 0.2225 0.9443 La
0.7220 0.7223 0.4444 La
0.7223 0.2220 0.9438 La
0.7227 0.7218 0.9446 La
0.2213 0.7218 0.9436 La
0.7211 0.2210 0.4421 Tl
0.2235 0.7232 0.4466 Tl
0.2222 0.2223 0.4445 Bi
```

Computed properties:
* energy of formation: -431 meV/atom
* energy above the most stable polymorph in this dataset: 0.18 kcal/mol of atoms


(3)
Entry from the Alexandria database: La5Tl2Bi after structural relaxation (PBE-GGA).

Geometry as POSCAR:
```
La5Tl2Bi
1.0
5.5086 0.0000 0.0000
0.0000 6.9481 0.0000
0.0000 0.0000 14.1321
Bi La Tl
2 10 4
Direct
0.0000 0.5000 0.5000 Bi
0.0000 0.0000 0.0000 Bi
0.0000 0.8336 0.2283 La
0.0000 0.5000 0.0000 La
0.5000 0.6290 0.3872 La
0.0000 0.0000 0.5000 La
0.5000 0.8710 0.8872 La
0.0000 0.6664 0.7283 La
0.5000 0.1290 0.1128 La
0.0000 0.1664 0.7717 La
0.5000 0.3710 0.6128 La
0.0000 0.3336 0.2717 La
0.5000 0.4000 0.8538 Tl
0.5000 0.9000 0.6462 Tl
0.5000 0.1000 0.3538 Tl
0.5000 0.6000 0.1462 Tl
```

Computed properties:
* energy of formation: -439 meV/atom
* energy above the most stable polymorph in this dataset: 0.00 kcal/mol of atoms


(4)
Entry from the Alexandria database: LaTl3Bi after structural relaxation (PBE-GGA).

Geometry as POSCAR:
```
LaTl3Bi
1.0
-5.5482 -0.7862 -1.6410
1.2064 -5.5314 -1.4288
-1.3622 -1.6967 5.4184
Tl La Bi
3 1 1
Direct
0.5000 0.0000 0.0000 Tl
0.0000 0.0000 0.5000 Tl
0.0000 0.5000 0.0000 Tl
0.5000 0.5000 0.5000 La
0.0000 0.0000 0.0000 Bi
```

Computed properties:
* energy of formation: 420 meV/atom
* energy above the most stable polymorph in this dataset: 0.00 kcal/mol of atoms


(5)
Entry from the Alexandria database: LaTlBi2 after structural relaxation (PBE-GGA).

Geometry as POSCAR:
```
LaTlBi2
1.0
4.8186 0.0000 0.0000
0.0000 5.0768 0.0000
0.0000 0.0000 5.0768
La Tl Bi
1 1 2
Direct
0.5000 0.5000 0.5000 La
0.5000 0.0000 0.0000 Tl
0.0000 0.5000 0.0000 Bi
0.0000 0.0000 0.5000 Bi
```

Computed properties:
* energy of formation: -531 meV/atom
* energy above the most stable polymorph in this dataset: 0.00 kcal/mol of atoms


(6)
Entry from the Alexandria database: LaTlBi after structural relaxation (PBE-GGA).

Geometry as POSCAR:
```
LaTlBi
1.0
4.1669 0.0000 0.0000
0.0000 5.2182 0.0000
0.0000 -2.6091 4.5191
Bi Tl La
1 1 1
Direct
0.7262 0.6667 0.3333 Bi
0.9634 0.0000 0.0000 Tl
0.3104 0.3333 0.6667 La
```

Computed properties:
* energy of formation: -436 meV/atom
* energy above the most stable polymorph in this dataset: 0.00 kcal/mol of atoms


(7)
Entry from the Alexandria database: La2TlBi after structural relaxation (PBE-GGA).

Geometry as POSCAR:
```
La2TlBi
1.0
-0.0986 -3.3011 2.5948
-2.5037 -2.0374 -2.6870
5.8379 -2.7884 -3.3254
La Tl Bi
2 1 1
Direct
0.0000 0.0000 0.7573 La
0.0000 0.0000 0.2427 La
0.5000 0.5000 0.5000 Tl
0.5000 0.5000 0.0000 Bi
```

Computed properties:
* energy of formation: -660 meV/atom
* energy above the most stable polymorph in this dataset: 1.04 kcal/mol of atoms


(8)
Entry from the Alexandria database: La2TlBi4 after structural relaxation (PBE-GGA).

Geometry as POSCAR:
```
La2TlBi4
1.0
-2.4159 -3.1439 -5.8675
6.1812 -3.3904 -0.6682
-3.5772 -0.3276 5.8993
Bi La Tl
4 2 1
Direct
0.2857 0.7857 0.0714 Bi
0.2856 0.2856 0.0712 Bi
0.7859 0.7859 0.0716 Bi
0.7857 0.2857 0.0714 Bi
0.7856 0.2858 0.5714 La
0.2858 0.7856 0.5714 La
0.7858 0.7858 0.5715 Tl
```

Computed properties:
* energy of formation: -556 meV/atom


(9)
Entry from the Alexandria database: La2TlBi after structural relaxation (PBE-GGA).

Geometry as POSCAR:
```
La2TlBi
1.0
4.6617 0.0000 0.0000
0.0000 4.6884 -0.8327
0.0000 -0.1040 13.0292
Tl La Bi
2 4 2
Direct
0.2500 0.4577 0.9154 Tl
0.7500 0.5423 0.0846 Tl
0.7500 0.9379 0.8759 La
0.7500 0.6833 0.3667 La
0.2500 0.0621 0.1241 La
0.2500 0.3167 0.6333 La
0.2500 0.1883 0.3766 Bi
0.7500 0.8117 0.6234 Bi
```

Computed properties:
* energy of formation: -705 meV/atom
* energy above the most stable polymorph in this dataset: 0.00 kcal/mol of atoms


(10)
Entry from the Alexandria database: La2TlBi after structural relaxation (PBE-GGA).

Geometry as POSCAR:
```
La2TlBi
1.0
-2.3949 2.8228 5.4965
-5.5737 1.5909 -3.2455
-3.6559 -11.8859 4.5112
Tl Bi La
4 4 8
Direct
0.7506 0.0550 0.1406 Tl
0.7506 0.4450 0.3594 Tl
0.2494 0.9450 0.8594 Tl
0.2494 0.5550 0.6406 Tl
0.7496 0.0012 0.6266 Bi
0.2504 0.9988 0.3734 Bi
0.2504 0.5012 0.1267 Bi
0.7496 0.4988 0.8734 Bi
0.2496 0.0365 0.6194 La
0.2496 0.4635 0.8806 La
0.2505 0.4978 0.3746 La
0.7495 0.9978 0.8746 La
0.7504 0.9635 0.3806 La
0.7504 0.5365 0.1194 La
0.2505 0.0022 0.1254 La
0.7495 0.5022 0.6254 La
```

Computed properties:
* energy of formation: -600 meV/atom
* energy above the most stable polymorph in this dataset: 2.42 kcal/mol of atoms


(11)
Entry from the Alexandria database: La6TlBi after structural relaxation (PBE-GGA).

Geometry as POSCAR:
```
La6TlBi
1.0
5.0807 0.0000 0.0000
0.0000 5.0807 0.0000
0.0000 0.0000 10.1017
La Tl Bi
6 1 1
Direct
0.5000 0.5000 0.5000 La
0.0000 0.5000 0.7490 La
0.5000 0.5000 0.0000 La
0.5000 0.0000 0.2510 La
0.0000 0.5000 0.2510 La
0.5000 0.0000 0.7490 La
0.0000 0.0000 0.0000 Tl
0.0000 0.0000 0.5000 Bi
```

Computed properties:
* energy of formation: -382 meV/atom


(12)
Entry from the Alexandria database: LaTlBi3 after structural relaxation (PBE-GGA).

Geometry as POSCAR:
```
LaTlBi3
1.0
6.1851 0.0000 0.0000
0.0000 6.1851 0.0000
0.0000 0.0000 6.1851
Bi Tl La
3 1 1
Direct
0.0000 0.0000 0.5000 Bi
0.5000 0.0000 0.0000 Bi
0.0000 0.5000 0.0000 Bi
0.5000 0.5000 0.5000 Tl
0.0000 0.0000 0.0000 La
```

Computed properties:
* energy of formation: 268 meV/atom
* energy above the most stable polymorph in this dataset: 14.95 kcal/mol of atoms


(13)
Entry from the Alexandria database: LaTlBi2 after structural relaxation (PBE-GGA).

Geometry as POSCAR:
```
LaTlBi2
1.0
5.0364 0.0000 0.0000
2.5182 4.3617 0.0000
2.5182 1.4539 6.7074
Tl Bi La
1 2 1
Direct
0.0000 0.0000 0.0000 Tl
0.2425 0.2425 0.2724 Bi
0.7575 0.7575 0.7276 Bi
0.5000 0.5000 0.5000 La
```

Computed properties:
* energy of formation: -251 meV/atom
* energy above the most stable polymorph in this dataset: 6.45 kcal/mol of atoms


(14)
Entry from the Alexandria database: La2TlBi after structural relaxation (PBE-GGA).

Geometry as POSCAR:
```
La2TlBi
1.0
-1.3867 -8.2946 2.6631
2.0706 -2.9331 -8.0576
3.7965 -5.8758 -1.7142
Bi La Tl
2 4 2
Direct
0.7500 0.2500 0.5000 Bi
0.0000 0.0000 0.0000 Bi
0.3750 0.3726 0.7500 La
0.6274 0.1250 0.2500 La
0.1226 0.6250 0.2500 La
0.8750 0.8774 0.7500 La
0.5000 0.5000 0.0000 Tl
0.2500 0.7500 0.5000 Tl
```

Computed properties:
* energy of formation: -454 meV/atom
* energy above the most stable polymorph in this dataset: 5.79 kcal/mol of atoms


(15)
Entry from the Alexandria database: La2TlBi after structural relaxation (PBE-GGA).

Geometry as POSCAR:
```
La2TlBi
1.0
-2.6693 -2.3551 2.5998
-1.2147 -4.0658 -1.1933
5.6530 -5.4339 4.6186
La Tl Bi
2 1 1
Direct
0.2556 0.2556 0.2332 La
0.0773 0.0773 0.7682 La
0.4997 0.4997 0.5010 Tl
0.6675 0.6675 0.9975 Bi
```

Computed properties:
* energy of formation: -554 meV/atom
* energy above the most stable polymorph in this dataset: 3.48 kcal/mol of atoms


(16)
Entry from the Alexandria database: La5TlBi4 after structural relaxation (PBE-GGA).

Geometry as POSCAR:
```
La5TlBi4
1.0
-5.0681 3.2155 -2.8022
0.1312 -0.0615 -8.1368
-6.5099 -4.6734 -1.4178
Bi La Tl
4 5 1
Direct
0.2015 0.1996 0.3998 Bi
0.6013 0.6002 0.1996 Bi
0.4011 0.3998 0.8004 Bi
0.8009 0.8004 0.6002 Bi
0.5005 0.0000 0.0000 La
0.8979 0.4086 0.7981 La
0.6960 0.2019 0.4086 La
0.3064 0.7981 0.5914 La
0.1045 0.5914 0.2019 La
0.0003 0.0000 0.0000 Tl
```

Computed properties:
* energy of formation: -860 meV/atom


(17)
Entry from the Alexandria database: LaTlBi2 after structural relaxation (PBE-GGA).

Geometry as POSCAR:
```
LaTlBi2
1.0
0.0000 4.0284 4.0284
4.0284 0.0000 4.0284
4.0284 4.0284 0.0000
Bi La Tl
2 1 1
Direct
0.7500 0.7500 0.7500 Bi
0.2500 0.2500 0.2500 Bi
0.0000 0.0000 0.0000 La
0.5000 0.5000 0.5000 Tl
```

Computed properties:
* energy of formation: -344 meV/atom
* energy above the most stable polymorph in this dataset: 4.30 kcal/mol of atoms


(18)
Entry from the Alexandria database: LaTlBi3 after structural relaxation (PBE-GGA).

Geometry as POSCAR:
```
LaTlBi3
1.0
-0.8217 1.3880 4.1557
2.5652 -7.5034 3.0134
8.2657 2.3658 0.8442
Bi La Tl
6 2 2
Direct
0.7500 0.0615 0.3775 Bi
0.2500 0.9385 0.6225 Bi
0.2500 0.3836 0.4499 Bi
0.7500 0.8688 0.9549 Bi
0.2500 0.1312 0.0451 Bi
0.7500 0.6164 0.5501 Bi
0.2500 0.7713 0.2630 La
0.7500 0.2287 0.7370 La
0.7500 0.4351 0.1425 Tl
0.2500 0.5649 0.8575 Tl
```

Computed properties:
* energy of formation: -380 meV/atom
* energy above the most stable polymorph in this dataset: 0.00 kcal/mol of atoms


(19)
Entry from the Alexandria database: LaTlBi3 after structural relaxation (PBE-GGA).

Geometry as POSCAR:
```
LaTlBi3
1.0
5.7812 0.0000 0.0000
0.0000 5.7812 0.0000
0.0000 0.0000 5.7812
Bi La Tl
3 1 1
Direct
0.0000 0.5000 0.0000 Bi
0.0000 0.0000 0.5000 Bi
0.5000 0.0000 0.0000 Bi
0.5000 0.5000 0.5000 La
0.0000 0.0000 0.0000 Tl
```

Computed properties:
* energy of formation: 299 meV/atom
* energy above the most stable polymorph in this dataset: 15.68 kcal/mol of atoms


(20)
Entry from the Alexandria database: LaTlBi2 after structural relaxation (PBE-GGA).

Geometry as POSCAR:
```
LaTlBi2
1.0
9.0384 0.0000 0.0000
0.0000 9.0384 0.0000
4.5192 4.5192 3.3749
Tl Bi La
2 4 2
Direct
0.0000 0.0000 0.0000 Tl
0.7500 0.2500 0.5000 Tl
0.6287 0.1250 0.2500 Bi
0.8750 0.8787 0.7500 Bi
0.3750 0.3713 0.7500 Bi
0.1213 0.6250 0.2500 Bi
0.2500 0.7500 0.5000 La
0.5000 0.5000 0.0000 La
```

Computed properties:
* energy of formation: -323 meV/atom
* energy above the most stable polymorph in this dataset: 4.80 kcal/mol of atoms


(21)
Entry from the Alexandria database: La2TlBi after structural relaxation (PBE-GGA).

Geometry as POSCAR:
```
La2TlBi
1.0
4.4886 0.0000 0.0000
2.2443 3.8872 0.0000
2.2443 1.2957 8.3515
La Bi Tl
2 1 1
Direct
0.2457 0.2457 0.2630 La
0.7543 0.7543 0.7370 La
0.5000 0.5000 0.5000 Bi
0.0000 0.0000 0.0000 Tl
```

Computed properties:
* energy of formation: -620 meV/atom
* energy above the most stable polymorph in this dataset: 1.97 kcal/mol of atoms


(22)
Entry from the Alexandria database: La12Tl3Bi after structural relaxation (PBE-GGA).

Geometry as POSCAR:
```
La12Tl3Bi
1.0
-3.1274 -3.2819 -2.2971
3.2141 -3.7951 1.0464
-9.5058 -3.2154 17.5356
Tl La Bi
3 12 1
Direct
0.0000 0.0000 0.7497 Tl
0.0000 0.0000 0.5000 Tl
0.0000 0.0000 0.2503 Tl
0.5000 0.0000 0.3742 La
0.0000 0.5000 0.3742 La
0.5000 0.5000 0.2496 La
0.0000 0.5000 0.8764 La
0.5000 0.5000 0.5000 La
0.5000 0.5000 0.0000 La
0.0000 0.5000 0.6258 La
0.0000 0.5000 0.1236 La
0.5000 0.0000 0.6258 La
0.5000 0.5000 0.7504 La
0.5000 0.0000 0.8764 La
0.5000 0.0000 0.1236 La
0.0000 0.0000 0.0000 Bi
```

Computed properties:
* energy of formation: -311 meV/atom


(23)
Entry from the Alexandria database: La2TlBi after structural relaxation (PBE-GGA).

Geometry as POSCAR:
```
La2TlBi
1.0
0.0000 4.0150 4.0150
4.0150 0.0000 4.0150
4.0150 4.0150 0.0000
Bi Tl La
1 1 2
Direct
0.5000 0.5000 0.5000 Bi
0.0000 0.0000 0.0000 Tl
0.2500 0.2500 0.2500 La
0.7500 0.7500 0.7500 La
```

Computed properties:
* energy of formation: -561 meV/atom
* energy above the most stable polymorph in this dataset: 3.32 kcal/mol of atoms


(24)
Entry from the Alexandria database: La5TlBi3 after structural relaxation (PBE-GGA).

Geometry as POSCAR:
```
La5TlBi3
1.0
6.7850 0.0000 0.0000
0.0000 8.6704 -5.0059
0.0000 0.0000 10.0116
Bi La Tl
6 10 2
Direct
0.7500 0.3794 0.3794 Bi
0.2500 0.0000 0.3794 Bi
0.7500 0.0000 0.6206 Bi
0.2500 0.3794 0.0000 Bi
0.2500 0.6206 0.6206 Bi
0.7500 0.6206 0.0000 Bi
0.2500 0.7261 0.0000 La
0.7500 0.2739 0.0000 La
0.5000 0.6667 0.3333 La
0.0000 0.3333 0.6667 La
0.5000 0.3333 0.6667 La
0.2500 0.0000 0.7261 La
0.2500 0.2739 0.2739 La
0.7500 0.0000 0.2739 La
0.7500 0.7261 0.7261 La
0.0000 0.6667 0.3333 La
0.5000 0.0000 0.0000 Tl
0.0000 0.0000 0.0000 Tl
```

Computed properties:
* energy of formation: -796 meV/atom


(25)
Entry from the Alexandria database: LaTlVBi2 after structural relaxation (PBE-GGA).

Geometry as POSCAR:
```
LaTlVBi2
1.0
-4.0008 -1.4503 4.0068
0.2215 -4.8692 -1.5413
4.2536 -1.0327 3.8735
Bi V Tl La
2 1 1 1
Direct
0.5000 0.0000 0.0000 Bi
0.0000 0.0000 0.5000 Bi
0.0000 0.5000 0.0000 V
0.0000 0.0000 0.0000 Tl
0.5000 0.5000 0.5000 La
```

Computed properties:
* energy of formation: 573 meV/atom